[1]
# BaLa2Pd

A relaxed structure of BaLa2Pd (PBE, Alexandria).

Results
**Total magnetization**: 0.0 μB/cell
**ΔE_f**: -120 kJ/mol of formula units
**V**: 40.627 Å³/atom
**N(E_F)**: 17.663 states/eV/cell
**Polymorph energy (0 for the lowest one)**: 0 meV per atom
**E**: -18.2 eV per formula unit

```
data_BaLa2Pd
_space_group_name_H-M_alt 'R 3 m'
_space_group_IT_number 160
_space_group_name_Hall 'R 3 -2"'
_cell_length_a 4.3127
_cell_length_b 4.3127
_cell_length_c 30.2672
_cell_angle_alpha 90.00
_cell_angle_beta 90.00
_cell_angle_gamma 120.00
loop_
_atom_site_label
_atom_site_type_symbol
_atom_site_fract_x
_atom_site_fract_y
_atom_site_fract_z
Ba1 Ba 0.0000 0.0000 0.0000
La1 La 0.0000 0.0000 0.2206
La2 La 0.0000 0.0000 0.4490
Pd1 Pd 0.0000 0.0000 0.8353
```

[2]
# BeZn2As

A relaxed structure of BeZn2As (PBE, Alexandria).

Results
**Total magnetization**: 0.0 μB/cell
**ΔE_f**: 105 kJ/mol of formula units
**V**: 15.137 Å³/atom
**N(E_F)**: 2.823 states/eV/cell
**Polymorph energy (0 for the lowest one)**: 98 meV per atom
**E**: -9.8 eV per formula unit

```
data_BeZn2As
_space_group_name_H-M_alt 'R -3 m'
_space_group_IT_number 166
_space_group_name_Hall '-R 3 2"'
_cell_length_a 2.9849
_cell_length_b 2.9849
_cell_length_c 23.5405
_cell_angle_alpha 90.00
_cell_angle_beta 90.00
_cell_angle_gamma 120.00
loop_
_atom_site_label
_atom_site_type_symbol
_atom_site_fract_x
_atom_site_fract_y
_atom_site_fract_z
Be1 Be 0.0000 0.0000 0.0000
Zn1 Zn 0.0000 0.0000 0.2602
As1 As 0.0000 0.0000 0.5000
```

[3]
# FeNiAsSe

A relaxed structure of FeNiAsSe (PBE, Alexandria).

Results
**Formation energy from raw total energies**: 0.021 eV per atom
**Total magnetization**: 3.4 μB/cell
**V**: 15.602 Å³/atom
**N(E_F)**: 6.929 states/eV/cell
**Polymorph energy (0 for the lowest one)**: 190 meV per atom
**E**: -22.3 eV per formula unit

```
data_FeNiAsSe
_space_group_name_H-M_alt 'A m m 2'
_space_group_IT_number 38
_cell_length_a 3.153
_cell_length_b 3.171
_cell_length_c 12.484
_cell_angle_alpha 90.00
_cell_angle_beta 90.00
_cell_angle_gamma 90.00
loop_
_space_group_symop_operation_xyz
'x,y,z'
'-x,-y,z'
'-x,y,z'
'x,-y,z'
'x,y+1/2,z+1/2'
'-x,-y+1/2,z+1/2'
'-x,y+1/2,z+1/2'
'x,-y+1/2,z+1/2'
loop_
_atom_site_label
_atom_site_type_symbol
_atom_site_fract_x
_atom_site_fract_y
_atom_site_fract_z
Fe1 Fe 0.000 0.000 0.000
Ni1 Ni 0.500 0.000 0.219
As1 As 0.000 0.000 0.812
Se1 Se 0.500 0.000 0.563
```

[4]
# LiZrIr2

A relaxed structure of LiZrIr2 (PBE, Alexandria).

Results
**Total magnetization**: 0.0 μB/cell
**ΔE_f**: -140 kJ/mol of formula units
**V**: 15.979 Å³/atom
**N(E_F)**: 5.117 states/eV/cell
**Polymorph energy (0 for the lowest one)**: 205 meV per atom
**E**: -29.6 eV per formula unit

```
data_LiZrIr2
_space_group_name_H-M_alt 'C 1 m 1'
_space_group_IT_number 8
_cell_length_a 10.037
_cell_length_b 2.975
_cell_length_c 4.707
_cell_angle_alpha 90.00
_cell_angle_beta 114.55
_cell_angle_gamma 90.00
loop_
_space_group_symop_operation_xyz
'x,y,z'
'x,-y,z'
'x+1/2,y+1/2,z'
'x+1/2,-y+1/2,z'
loop_
_atom_site_label
_atom_site_type_symbol
_atom_site_fract_x
_atom_site_fract_y
_atom_site_fract_z
Li1 Li 0.000 0.000 0.000
Zr1 Zr 0.277 0.500 0.390
Ir1 Ir 0.026 0.500 0.496
Ir2 Ir 0.253 0.000 0.884
```

[5]
# Tl2Ga2Se5

A relaxed structure of Tl2Ga2Se5 (PBE, Alexandria).

Results
**Formation energy from raw total energies**: -0.261 eV per atom
**Total magnetization**: 0.0 μB/cell
**V**: 30.935 Å³/atom
**N(E_F)**: 4.368 states/eV/cell
**E**: -30.6 eV per formula unit

```
data_Tl2Ga2Se5
_space_group_name_H-M_alt 'C 1 2/m 1'
_space_group_IT_number 12
_cell_length_a 12.578
_cell_length_b 4.794
_cell_length_c 9.346
_cell_angle_alpha 90.00
_cell_angle_beta 98.84
_cell_angle_gamma 90.00
loop_
_space_group_symop_operation_xyz
'x,y,z'
'-x,-y,-z'
'-x,y,-z'
'x,-y,z'
'x+1/2,y+1/2,z'
'-x+1/2,-y+1/2,-z'
'-x+1/2,y+1/2,-z'
'x+1/2,-y+1/2,z'
loop_
_atom_site_label
_atom_site_type_symbol
_atom_site_fract_x
_atom_site_fract_y
_atom_site_fract_z
Tl1 Tl 0.108 0.000 0.386
Ga1 Ga 0.169 0.500 0.863
Se1 Se 0.000 0.500 0.000
Se2 Se 0.138 0.500 0.612
Se3 Se 0.150 0.000 0.985
```

[6]
# NdMg4Ag2

A relaxed structure of NdMg4Ag2 (PBE, Alexandria).

Results
**Total magnetization**: 0.0 μB/cell
**ΔE_f**: -131 kJ/mol of formula units
**V**: 22.905 Å³/atom
**N(E_F)**: 8.602 states/eV/cell
**E**: -18.2 eV per formula unit

```
data_NdMg4Ag2
_space_group_name_H-M_alt 'P 42/m n m'
_space_group_IT_number 136
_space_group_name_Hall '-P 4n 2n'
_cell_length_a 8.474
_cell_length_b 8.474
_cell_length_c 4.466
_cell_angle_alpha 90.00
_cell_angle_beta 90.00
_cell_angle_gamma 90.00
loop_
_atom_site_label
_atom_site_type_symbol
_atom_site_fract_x
_atom_site_fract_y
_atom_site_fract_z
Nd1 Nd 0.000 0.000 0.000
Mg1 Mg 0.088 0.338 0.500
Ag1 Ag 0.216 0.784 0.500
```

[7]
# La2PmY6Er3

A relaxed structure of La2PmY6Er3 (PBE, Alexandria).

Results
**Total magnetization**: 0.0 μB/cell
**ΔE_f**: 28 kJ/mol of formula units
**V**: 32.724 Å³/atom
**N(E_F)**: 35.698 states/eV/cell
**E**: -66.8 eV per formula unit

```
data_La2PmY6Er3
_space_group_name_H-M_alt 'C 1 2/m 1'
_space_group_IT_number 12
_cell_length_a 6.230
_cell_length_b 10.787
_cell_length_c 11.870
_cell_angle_alpha 90.00
_cell_angle_beta 100.06
_cell_angle_gamma 90.00
loop_
_space_group_symop_operation_xyz
'x,y,z'
'-x,-y,-z'
'-x,y,-z'
'x,-y,z'
'x+1/2,y+1/2,z'
'-x+1/2,-y+1/2,-z'
'-x+1/2,y+1/2,-z'
'x+1/2,-y+1/2,z'
loop_
_atom_site_label
_atom_site_type_symbol
_atom_site_fract_x
_atom_site_fract_y
_atom_site_fract_z
La1 La 0.000 0.167 0.000
Pm1 Pm 0.000 0.500 0.000
Y1 Y 0.247 0.500 0.744
Y2 Y 0.248 0.166 0.744
Er1 Er 0.000 0.000 0.500
Er2 Er 0.000 0.333 0.500
```

[8]
# K2LiZn2O4

A relaxed structure of K2LiZn2O4 (PBE, Alexandria).

Results
**Formation energy from raw total energies**: -1.327 eV per atom
**Total magnetization**: 2.0 μB/cell
**V**: 14.392 Å³/atom
**E**: -38.4 eV per formula unit

```
data_K2LiZn2O4
_space_group_name_H-M_alt 'C 1 2/m 1'
_space_group_IT_number 12
_cell_length_a 13.428
_cell_length_b 3.363
_cell_length_c 6.020
_cell_angle_alpha 90.00
_cell_angle_beta 107.64
_cell_angle_gamma 90.00
loop_
_space_group_symop_operation_xyz
'x,y,z'
'-x,-y,-z'
'-x,y,-z'
'x,-y,z'
'x+1/2,y+1/2,z'
'-x+1/2,-y+1/2,-z'
'-x+1/2,y+1/2,-z'
'x+1/2,-y+1/2,z'
loop_
_atom_site_label
_atom_site_type_symbol
_atom_site_fract_x
_atom_site_fract_y
_atom_site_fract_z
K1 K 0.125 0.000 0.014
Li1 Li 0.000 0.000 0.500
Zn1 Zn 0.168 0.500 0.515
O1 O 0.022 0.500 0.322
O2 O 0.226 0.000 0.688
```